Entry 1:
## Rb2YAuCl6 (PBE)

Data for a relaxed structure of Rb2YAuCl6.

## Properties
Distance to the lowest polymorph of the same formula ... 0.0361 eV per atom

Structure (CIF):
```
data_Rb2YAuCl6
_symmetry_space_group_name_H-M 'F m -3 m'
_symmetry_Int_Tables_number 225
_symmetry_space_group_name_Hall '-F 4 2 3'
_cell_length_a 10.778
_cell_length_b 10.778
_cell_length_c 10.778
_cell_angle_alpha 90.00
_cell_angle_beta 90.00
_cell_angle_gamma 90.00
loop_
_atom_site_label
_atom_site_type_symbol
_atom_site_fract_x
_atom_site_fract_y
_atom_site_fract_z
Rb1 Rb 0.250 0.250 0.250
Y1 Y 0.000 0.000 0.000
Au1 Au 0.000 0.000 0.500
Cl1 Cl 0.000 0.000 0.245
```



Entry 2:
## LiIO3 (PBE)

Data for a relaxed structure of LiIO3.

Structure (CIF):
```
data_LiIO3
_symmetry_space_group_name_H-M 'P 63/m m c'
_symmetry_Int_Tables_number 194
_symmetry_space_group_name_Hall '-P 6c 2c'
_cell_length_a 5.7056
_cell_length_b 5.7056
_cell_length_c 3.5547
_cell_angle_alpha 90.00
_cell_angle_beta 90.00
_cell_angle_gamma 120.00
loop_
_atom_site_label
_atom_site_type_symbol
_atom_site_fract_x
_atom_site_fract_y
_atom_site_fract_z
Li1 Li 0.0000 0.0000 0.0000
I1 I 0.3333 0.6667 0.2500
O1 O 0.1874 0.3748 0.7500
```



no.,ΔE_f (raw) (meV/atom),DOS at the Fermi energy (states/eV per atom)
1,-1672.4,0.000
2,-93.1,0.320